1.
First-principles (GGA-PBE) data for a geometry-optimized ZrMn3Te structure, as listed in Alexandria.

Computed properties:
E_form (uncorrected) = 1.238 eV per atom
crystal system = cubic
E above lowest polymorph = 342 meV/atom

a b c (Å): 4.8622 4.8622 4.8622
angles (deg): 90.00 90.00 90.00
Atoms (fractional coordinates):
1 Zr 0.0000 0.0000 0.0000
2 Mn 0.0000 0.0000 0.5000
3 Mn 0.0000 0.5000 0.0000
4 Mn 0.5000 0.0000 0.0000
5 Te 0.5000 0.5000 0.5000

=====

2.
First-principles (GGA-PBE) data for a geometry-optimized ZrMn3Te structure, as listed in Alexandria.

Computed properties:
E_form (uncorrected) = 0.895 eV per atom
crystal system = cubic
E above lowest polymorph = 0 meV/atom

a b c (Å): 4.7777 4.7777 4.7777
angles (deg): 90.00 90.00 90.00
Atoms (fractional coordinates):
1 Zr 0.0000 0.0000 0.0000
2 Mn 0.0000 0.5000 0.5000
3 Mn 0.5000 0.0000 0.5000
4 Mn 0.5000 0.5000 0.0000
5 Te 0.5000 0.5000 0.5000

=====

3.
First-principles (GGA-PBE) data for a geometry-optimized Th3Mn2 structure, as listed in Alexandria.

Computed properties:
formation enthalpy at 0 K = 0.237 eV/atom
crystal system = trigonal

a b c (Å): 7.2690 7.2690 7.2690
angles (deg): 56.03 56.03 56.03
Atoms (fractional coordinates):
1 Th 0.1290 0.7500 0.3710
2 Th 0.2500 0.6290 0.8710
3 Th 0.3710 0.1290 0.7500
4 Th 0.6290 0.8710 0.2500
5 Th 0.7500 0.3710 0.1290
6 Th 0.8710 0.2500 0.6290
7 Mn 0.1840 0.1840 0.1840
8 Mn 0.3160 0.3160 0.3160
9 Mn 0.6840 0.6840 0.6840
10 Mn 0.8160 0.8160 0.8160